## Tb2NdTe5 (GGA-PBE)

Data for a relaxed Tb2NdTe5 crystal.

a b c (Å): 8.187 8.187 14.344
angles (deg): 90.00 90.00 90.00
Space group I4/mcm (No. 140)
One atom of each set of equivalent atoms:
Tb  0.151  0.349  0.000 x8
Nd  0.000  0.000  0.250 x4
Te  0.000  0.000  0.000 x4
Te  0.157  0.343  0.352 x16

Results
Formation energy without anion corrections ... -1.2233 eV/atom
Energy ... -4.9404 eV/atom